No. 1
DFT (GGA-PBE) results for a geometry-optimized Sm2CoOs3 structure.

a = 5.2994 Å, b = 5.2994 Å, c = 5.3927 Å
α = 90.04°, β = 119.41°, γ = 119.97°
With the nearest neighbours (Å) after each atom.
Atoms (fractional coordinates):
Os 0.5000 0.5000 0.5000  4 Os 2.65, 2 Co 2.70
Sm 0.2480 0.6242 0.8722  3 Co 3.11, 9 Os 3.12-3.18, 4 Sm 3.26-3.31
Os 0.5000 0.0000 0.5000  4 Os 2.65, 2 Co 2.70
Os 0.0000 0.0000 0.5000  4 Os 2.65, 2 Co 2.70
Co 0.0000 0.0000 0.0000  6 Os 2.70
Sm 0.7520 0.3758 0.1278  3 Co 3.11, 9 Os 3.12-3.18, 4 Sm 3.26-3.31

Calculated values
* ΔE_f: -0.17 eV per atom

---

No. 2
DFT (GGA-PBE) results for a geometry-optimized Ho6Fe2Ag structure.

a = 8.2839 Å, b = 8.2839 Å, c = 8.2839 Å
α = 107.43°, β = 109.63°, γ = 111.38°
With the nearest neighbours (Å) after each atom.
Atoms (fractional coordinates):
Ho 0.7042 0.0178 0.3136  3 Fe 2.77-2.86
Ho 0.2125 0.2205 0.4330  1 Fe 2.72, 1 Ag 2.96
Fe 0.5000 0.6092 0.1092  1 Fe 2.14
Ho 0.5216 0.7085 0.8132  2 Fe 2.85
Ho 0.2958 0.6094 0.3136  3 Fe 2.77-2.86
Ho 0.7875 0.2205 0.0079  1 Fe 2.72, 1 Ag 2.96
Ho 0.2125 0.7795 0.9921  1 Fe 2.72, 1 Ag 2.96
Ho 0.7042 0.3906 0.6864  3 Fe 2.77-2.86
Ho 0.8953 0.7085 0.1868  2 Fe 2.85
Fe 0.3860 0.0000 0.3860  1 Fe 2.18
Ag 0.0000 0.0000 0.0000  8 Ho 2.96-3.25
Ho 0.1047 0.2915 0.8132  2 Fe 2.85
Ho 0.7875 0.7795 0.5670  1 Fe 2.72, 1 Ag 2.96
Fe 0.5000 0.3908 0.8908  1 Fe 2.14
Ho 0.2958 0.9822 0.6864  3 Fe 2.77-2.86
Ag 0.0000 0.5000 0.5000  12 Ho 3.31-3.57
Fe 0.6140 0.0000 0.6140  1 Fe 2.18
Ho 0.4784 0.2915 0.1868  2 Fe 2.85

Calculated values
* ΔE_f: -0.10 eV per atom